Entry 1:
A plane-wave DFT calculation with PBE-GGA was carried out for a geometry-optimized NdTm2Th3 structure.

Lattice parameters (Å, degrees): 9.432 9.432 6.196 90.10 90.10 44.24
Positions (direct):
1 Nd 0.131 0.869 0.750
2 Nd 0.869 0.131 0.250
3 Tm 0.043 0.296 0.583
4 Tm 0.296 0.043 0.083
5 Tm 0.704 0.957 0.917
6 Tm 0.957 0.704 0.417
7 Th 0.213 0.453 0.919
8 Th 0.379 0.621 0.250
9 Th 0.453 0.213 0.419
10 Th 0.547 0.787 0.581
11 Th 0.621 0.379 0.750
12 Th 0.787 0.547 0.081

Computed properties:
DOS(E_F) ... 18.14 states/eV/cell
ΔH_f (0 K) ... 0.3 eV per formula unit
Final energy ... -0.4370 Ry per atom

***

Entry 2:
A plane-wave DFT calculation with PBE-GGA was carried out for a geometry-optimized Ac4Pm2PrNd structure.

Lattice parameters (Å, degrees): 7.609 7.609 7.609 103.82 103.82 121.49
Positions (direct):
1 Ac 0.033 0.532 0.000
2 Ac 0.468 0.468 0.501
3 Ac 0.532 0.033 0.000
4 Ac 0.967 0.967 0.499
5 Pm 0.250 0.750 0.500
6 Pm 0.750 0.250 0.500
7 Pr 0.000 0.000 0.000
8 Nd 0.500 0.500 0.000

Computed properties:
DOS(E_F) ... 14.49 states/eV/cell
ΔH_f (0 K) ... 3.3 eV per formula unit
Final energy ... -0.2955 Ry per atom

***

Entry 3:
A plane-wave DFT calculation with PBE-GGA was carried out for a geometry-optimized Si2NiW structure.

Lattice parameters (Å, degrees): 4.437 4.437 5.048 107.72 107.72 34.77
Positions (direct):
1 Si 0.231 0.231 0.245
2 Si 0.769 0.769 0.755
3 Ni 0.500 0.500 0.000
4 W 0.000 0.000 0.500

Computed properties:
DOS(E_F) ... 1.82 states/eV/cell
Raw formation energy ... -0.31 eV/f.u.
Final energy ... -0.5492 Ry per atom

***

Entry 4:
A plane-wave DFT calculation with PBE-GGA was carried out for a geometry-optimized Pm2Zn12Ag5 structure.

Lattice parameters (Å, degrees): 6.989 6.989 6.989 82.86 82.86 82.86
Positions (direct):
1 Pm 0.159 0.159 0.159
2 Pm 0.841 0.841 0.841
3 Zn 0.148 0.148 0.667
4 Zn 0.148 0.667 0.148
5 Zn 0.200 0.500 0.800
6 Zn 0.200 0.800 0.500
7 Zn 0.333 0.852 0.852
8 Zn 0.500 0.200 0.800
9 Zn 0.500 0.800 0.200
10 Zn 0.667 0.148 0.148
11 Zn 0.800 0.200 0.500
12 Zn 0.800 0.500 0.200
13 Zn 0.852 0.333 0.852
14 Zn 0.852 0.852 0.333
15 Ag 0.000 0.500 0.500
16 Ag 0.397 0.397 0.397
17 Ag 0.500 0.000 0.500
18 Ag 0.500 0.500 0.000
19 Ag 0.603 0.603 0.603

Computed properties:
DOS(E_F) ... 8.60 states/eV/cell
ΔH_f (0 K) ... -3.6 eV per formula unit
Final energy ... -0.1651 Ry per atom

***

Entry 5:
A plane-wave DFT calculation with PBE-GGA was carried out for a geometry-optimized Sc2InRu structure.

Lattice parameters (Å, degrees): 9.859 9.859 9.859 18.53 18.53 18.53
Positions (direct):
1 Sc 0.080 0.080 0.080
2 Sc 0.920 0.920 0.920
3 In 0.500 0.500 0.500
4 Ru 0.000 0.000 0.000

Computed properties:
DOS(E_F) ... 4.19 states/eV/cell
ΔH_f (0 K) ... 0.5 eV per formula unit
Final energy ... -0.4439 Ry per atom